(1)
# Nd3Si2S8I | Alexandria | GGA-PBE | optimized geometry
# Density of states at the Fermi level ... 0.00 states/eV per cell
# Theoretical density ... 4.259 g/cm³
# VASP energy ... -5.7128 eV per atom
data_Nd3Si2S8I
_cell_length_a 15.9700
_cell_length_b 7.8784
_cell_length_c 10.9051
_cell_angle_alpha 90.00
_cell_angle_beta 97.49
_cell_angle_gamma 90.00
_symmetry_space_group_name_H-M 'C 1 2/c 1'
_symmetry_Int_Tables_number 15
loop_
_symmetry_equiv_pos_as_xyz
'x,y,z'
'-x,-y,-z'
'-x,y,-z+1/2'
'x,-y,z+1/2'
'x+1/2,y+1/2,z'
'-x+1/2,-y+1/2,-z'
'-x+1/2,y+1/2,-z+1/2'
'x+1/2,-y+1/2,z+1/2'
loop_
_atom_site_label
_atom_site_fract_x
_atom_site_fract_y
_atom_site_fract_z
Nd1 0.0000 0.0964 0.2500
Nd2 0.1993 0.3760 0.6830
Si1 0.1602 0.0375 0.0306
S1 0.0680 0.1525 0.5469
S2 0.1457 0.2458 0.1492
S3 0.1495 0.0982 0.8393
S4 0.2175 0.4303 0.4148
I1 0.0000 0.4888 0.7500

(2)
# PrNd3Al8 | Alexandria | GGA-PBE | optimized geometry
# Density of states at the Fermi level ... 6.45 states/eV per cell
# Energy relative to the lowest polymorph listed for this composition ... 0.0125 eV/atom
# Theoretical density ... 5.003 g/cm³
data_PrNd3Al8
_cell_length_a 5.6824
_cell_length_b 5.6824
_cell_length_c 9.3712
_cell_angle_alpha 90.00
_cell_angle_beta 90.00
_cell_angle_gamma 120.00
_symmetry_space_group_name_H-M 'P 3 m 1'
_symmetry_Int_Tables_number 156
loop_
_symmetry_equiv_pos_as_xyz
'x,y,z'
'-y,x-y,z'
'-x+y,-x,z'
'-y,-x,z'
'-x+y,y,z'
'x,x-y,z'
loop_
_atom_site_label
_atom_site_fract_x
_atom_site_fract_y
_atom_site_fract_z
Pr1 0.0000 0.0000 0.0000
Nd1 0.0000 0.0000 0.3638
Nd2 0.6667 0.3333 0.5000
Nd3 0.6667 0.3333 0.8636
Al1 0.1623 0.3245 0.6814
Al2 0.3333 0.6667 0.4324
Al3 0.3333 0.6667 0.9317
Al4 0.5045 0.0089 0.1828

(3)
# SiTcGeRh | Alexandria | GGA-PBE | optimized geometry
# Density of states at the Fermi level ... 5.14 states/eV per cell
# Theoretical density ... 9.158 g/cm³
# VASP energy ... -7.3560 eV per atom
data_SiTcGeRh
_cell_length_a 6.0254
_cell_length_b 6.0254
_cell_length_c 6.0254
_cell_angle_alpha 90.00
_cell_angle_beta 90.00
_cell_angle_gamma 90.00
_symmetry_space_group_name_H-M 'F -4 3 m'
_symmetry_Int_Tables_number 216
_symmetry_space_group_name_Hall 'F -4 2 3'
loop_
_atom_site_label
_atom_site_fract_x
_atom_site_fract_y
_atom_site_fract_z
Si1 0.0000 0.0000 0.0000
Tc1 0.2500 0.2500 0.7500
Ge1 0.0000 0.0000 0.5000
Rh1 0.2500 0.2500 0.2500

(4)
# MnOs3W | Alexandria | GGA-PBE | optimized geometry
# Density of states at the Fermi level ... 17.93 states/eV per cell
# Energy relative to the lowest polymorph listed for this composition ... 0.0000 eV/atom
# Theoretical density ... 17.801 g/cm³
data_MnOs3W
_cell_length_a 9.1772
_cell_length_b 5.2019
_cell_length_c 7.5999
_cell_angle_alpha 90.00
_cell_angle_beta 123.64
_cell_angle_gamma 90.00
_symmetry_space_group_name_H-M 'C 1 2/m 1'
_symmetry_Int_Tables_number 12
loop_
_symmetry_equiv_pos_as_xyz
'x,y,z'
'-x,-y,-z'
'-x,y,-z'
'x,-y,z'
'x+1/2,y+1/2,z'
'-x+1/2,-y+1/2,-z'
'-x+1/2,y+1/2,-z'
'x+1/2,-y+1/2,z'
loop_
_atom_site_label
_atom_site_fract_x
_atom_site_fract_y
_atom_site_fract_z
Mn1 0.0000 0.0000 0.0000
Mn2 0.0000 0.5000 0.5000
Os1 0.1771 0.0000 0.4210
Os2 0.2192 0.2350 0.8032
W1 0.0167 0.5000 0.1896

(5)
# Ni2SbH | Alexandria | GGA-PBE | optimized geometry
# Density of states at the Fermi level ... 7.02 states/eV per cell
# Energy relative to the lowest polymorph listed for this composition ... 0.1465 eV/atom
# Theoretical density ... 7.876 g/cm³
data_Ni2SbH
_cell_length_a 4.5041
_cell_length_b 4.5041
_cell_length_c 8.6459
_cell_angle_alpha 90.00
_cell_angle_beta 90.00
_cell_angle_gamma 120.00
_symmetry_space_group_name_H-M 'R -3 m'
_symmetry_Int_Tables_number 166
_symmetry_space_group_name_Hall '-R 3 2"'
loop_
_atom_site_label
_atom_site_fract_x
_atom_site_fract_y
_atom_site_fract_z
Ni1 0.0000 0.0000 0.1827
Sb1 0.0000 0.0000 0.5000
H1 0.0000 0.0000 0.0000

(6)
# TcIBrO2 | Alexandria | GGA-PBE | optimized geometry
# Density of states at the Fermi level ... 3.50 states/eV per cell
# Energy relative to the lowest polymorph listed for this composition ... 1.3678 eV/atom
# Theoretical density ... 5.020 g/cm³
data_TcIBrO2
_cell_length_a 3.9479
_cell_length_b 3.9479
_cell_length_c 7.1478
_cell_angle_alpha 90.00
_cell_angle_beta 90.00
_cell_angle_gamma 90.00
_symmetry_space_group_name_H-M 'P 4/m m m'
_symmetry_Int_Tables_number 123
_symmetry_space_group_name_Hall '-P 4 2'
loop_
_atom_site_label
_atom_site_fract_x
_atom_site_fract_y
_atom_site_fract_z
Tc1 0.0000 0.0000 0.0000
I1 0.5000 0.5000 0.0000
Br1 0.5000 0.5000 0.5000
O1 0.0000 0.5000 0.5000

(7)
# Ga3MoI | Alexandria | GGA-PBE | optimized geometry
# Density of states at the Fermi level ... 4.52 states/eV per cell
# Energy relative to the lowest polymorph listed for this composition ... 0.0000 eV/atom
# Theoretical density ... 5.315 g/cm³
data_Ga3MoI
_cell_length_a 5.1296
_cell_length_b 5.1296
_cell_length_c 5.1296
_cell_angle_alpha 90.00
_cell_angle_beta 90.00
_cell_angle_gamma 90.00
_symmetry_space_group_name_H-M 'P m -3 m'
_symmetry_Int_Tables_number 221
_symmetry_space_group_name_Hall '-P 4 2 3'
loop_
_atom_site_label
_atom_site_fract_x
_atom_site_fract_y
_atom_site_fract_z
Ga1 0.0000 0.0000 0.5000
Mo1 0.0000 0.0000 0.0000
I1 0.5000 0.5000 0.5000

(8)
# DyHoPuCd | Alexandria | GGA-PBE | optimized geometry
# Density of states at the Fermi level ... 55.17 states/eV per cell
# Theoretical density ... 10.265 g/cm³
# VASP energy ... -6.0357 eV per atom
data_DyHoPuCd
_cell_length_a 7.6202
_cell_length_b 7.6202
_cell_length_c 7.6202
_cell_angle_alpha 90.00
_cell_angle_beta 90.00
_cell_angle_gamma 90.00
_symmetry_space_group_name_H-M 'F -4 3 m'
_symmetry_Int_Tables_number 216
_symmetry_space_group_name_Hall 'F -4 2 3'
loop_
_atom_site_label
_atom_site_fract_x
_atom_site_fract_y
_atom_site_fract_z
Dy1 0.0000 0.0000 0.0000
Ho1 0.0000 0.0000 0.5000
Pu1 0.2500 0.2500 0.7500
Cd1 0.2500 0.2500 0.2500

(9)
# Pm12Rh5Au2 | Alexandria | GGA-PBE | optimized geometry
# Density of states at the Fermi level ... 32.46 states/eV per cell
# Theoretical density ... 8.119 g/cm³
# VASP energy ... -5.7692 eV per atom
data_Pm12Rh5Au2
_cell_length_a 16.4791
_cell_length_b 7.3179
_cell_length_c 9.3030
_cell_angle_alpha 90.00
_cell_angle_beta 105.06
_cell_angle_gamma 90.00
_symmetry_space_group_name_H-M 'C 1 2/m 1'
_symmetry_Int_Tables_number 12
loop_
_symmetry_equiv_pos_as_xyz
'x,y,z'
'-x,-y,-z'
'-x,y,-z'
'x,-y,z'
'x+1/2,y+1/2,z'
'-x+1/2,-y+1/2,-z'
'-x+1/2,y+1/2,-z'
'x+1/2,-y+1/2,z'
loop_
_atom_site_label
_atom_site_fract_x
_atom_site_fract_y
_atom_site_fract_z
Pm1 0.0016 0.0000 0.2237
Pm2 0.0442 0.5000 0.3030
Pm3 0.1505 0.2525 0.0533
Pm4 0.1827 0.2403 0.6144
Rh1 0.0000 0.5000 0.0000
Rh2 0.1771 0.0000 0.3336
Rh3 0.2041 0.0000 0.8574
Au1 0.0000 0.2094 0.5000

(10)
# Li2DyCdAu4 | Alexandria | GGA-PBE | optimized geometry
# Density of states at the Fermi level ... 9.50 states/eV per cell
# Theoretical density ... 11.656 g/cm³
# VASP energy ... -3.3477 eV per atom
data_Li2DyCdAu4
_cell_length_a 4.7529
_cell_length_b 4.7529
_cell_length_c 23.5215
_cell_angle_alpha 90.00
_cell_angle_beta 90.00
_cell_angle_gamma 120.00
_symmetry_space_group_name_H-M 'R -3 m'
_symmetry_Int_Tables_number 166
_symmetry_space_group_name_Hall '-R 3 2"'
loop_
_atom_site_label
_atom_site_fract_x
_atom_site_fract_y
_atom_site_fract_z
Li1 0.0000 0.0000 0.2454
Dy1 0.0000 0.0000 0.0000
Cd1 0.0000 0.0000 0.5000
Au1 0.0000 0.0000 0.1251
Au2 0.0000 0.0000 0.3794

(11)
# LiNbPd14 | Alexandria | GGA-PBE | optimized geometry
# Density of states at the Fermi level ... 23.24 states/eV per cell
# Theoretical density ... 10.767 g/cm³
# VASP energy ... -5.4851 eV per atom
data_LiNbPd14
_cell_length_a 5.6055
_cell_length_b 5.6055
_cell_length_c 7.8024
_cell_angle_alpha 90.00
_cell_angle_beta 90.00
_cell_angle_gamma 90.00
_symmetry_space_group_name_H-M 'P 4/m m m'
_symmetry_Int_Tables_number 123
_symmetry_space_group_name_Hall '-P 4 2'
loop_
_atom_site_label
_atom_site_fract_x
_atom_site_fract_y
_atom_site_fract_z
Li1 0.0000 0.0000 0.0000
Nb1 0.5000 0.5000 0.0000
Pd1 0.0000 0.0000 0.5000
Pd2 0.0000 0.5000 0.0000
Pd3 0.0000 0.5000 0.5000
Pd4 0.2516 0.2516 0.2446
Pd5 0.5000 0.5000 0.5000